(1)
{
  "formula": "Cd3AgPd12",
  "functional": "GGA-PBE",
  "state": "relaxed",
  "cell": [[4.025, 0.000, 0.000], [0.000, 4.025, 0.000], [0.000, 0.000, 16.053]],
  "species": ["Cd", "Cd", "Cd", "Ag", "Pd", "Pd", "Pd", "Pd", "Pd", "Pd", "Pd", "Pd", "Pd", "Pd", "Pd", "Pd"],
  "fractional_positions": [[0.000, 0.000, 0.000], [0.000, 0.000, 0.251], [0.000, 0.000, 0.749], [0.000, 0.000, 0.500], [0.000, 0.500, 0.126], [0.000, 0.500, 0.377], [0.000, 0.500, 0.623], [0.000, 0.500, 0.874], [0.500, 0.000, 0.126], [0.500, 0.000, 0.377], [0.500, 0.000, 0.623], [0.500, 0.000, 0.874], [0.500, 0.500, 0.000], [0.500, 0.500, 0.252], [0.500, 0.500, 0.500], [0.500, 0.500, 0.748]],
  "dft_energy_ev_per_fu": -70.7,
  "ef_ev_per_fu": -2.82
}

(2)
{
  "formula": "CdAg2Pd8",
  "functional": "GGA-PBE",
  "state": "relaxed",
  "cell": [[-1.909, 4.213, 5.841], [1.909, -4.213, 5.841], [1.909, 4.213, -5.841]],
  "species": ["Cd", "Ag", "Ag", "Pd", "Pd", "Pd", "Pd", "Pd", "Pd", "Pd", "Pd"],
  "fractional_positions": [[0.000, 0.000, 0.000], [0.356, 0.356, 0.000], [0.644, 0.644, 0.000], [0.078, 0.832, 0.246], [0.178, 0.678, 0.500], [0.240, 0.500, 0.740], [0.414, 0.168, 0.246], [0.586, 0.832, 0.754], [0.760, 0.500, 0.260], [0.822, 0.322, 0.500], [0.922, 0.168, 0.754]],
  "dft_energy_ev_per_fu": -48.1,
  "ef_ev_per_fu": 0.04
}

(3)
{
  "formula": "Cd3Ag4Pd",
  "functional": "GGA-PBE",
  "state": "relaxed",
  "cell": [[10.026, -1.483, 0.000], [10.026, 1.483, 0.000], [-1.250, 0.000, 4.991]],
  "species": ["Cd", "Cd", "Cd", "Ag", "Ag", "Ag", "Ag", "Pd"],
  "fractional_positions": [[0.000, 0.000, 0.000], [0.249, 0.249, 0.250], [0.751, 0.751, 0.750], [0.121, 0.121, 0.460], [0.377, 0.377, 0.048], [0.623, 0.623, 0.952], [0.879, 0.879, 0.540], [0.500, 0.500, 0.500]],
  "dft_energy_ev_per_fu": -19.9,
  "ef_ev_per_fu": -0.57
}

(4)
{
  "formula": "Pm4CdAgPd2",
  "functional": "GGA-PBE",
  "state": "relaxed",
  "cell": [[2.609, 1.506, 8.513], [-2.609, 1.506, 8.513], [0.000, -3.013, 8.513]],
  "species": ["Pm", "Pm", "Pm", "Pm", "Cd", "Ag", "Pd", "Pd"],
  "fractional_positions": [[0.123, 0.123, 0.123], [0.373, 0.373, 0.373], [0.627, 0.627, 0.627], [0.877, 0.877, 0.877], [0.500, 0.500, 0.500], [0.000, 0.000, 0.000], [0.246, 0.246, 0.246], [0.754, 0.754, 0.754]],
  "dft_energy_ev_per_fu": -37.2,
  "ef_ev_per_fu": -4.00
}

(5)
{
  "formula": "Pm2CdAg2Pd5",
  "functional": "GGA-PBE",
  "state": "relaxed",
  "cell": [[9.764, 0.000, 0.000], [0.000, 9.764, 0.000], [0.000, 0.000, 4.114]],
  "species": ["Pm", "Pm", "Pm", "Pm", "Cd", "Cd", "Ag", "Ag", "Ag", "Ag", "Pd", "Pd", "Pd", "Pd", "Pd", "Pd", "Pd", "Pd", "Pd", "Pd"],
  "fractional_positions": [[0.175, 0.325, 0.000], [0.325, 0.825, 0.000], [0.675, 0.175, 0.000], [0.825, 0.675, 0.000], [0.000, 0.000, 0.000], [0.500, 0.500, 0.000], [0.123, 0.623, 0.000], [0.377, 0.123, 0.000], [0.623, 0.877, 0.000], [0.877, 0.377, 0.000], [0.000, 0.500, 0.500], [0.066, 0.800, 0.500], [0.200, 0.066, 0.500], [0.300, 0.566, 0.500], [0.434, 0.300, 0.500], [0.500, 0.000, 0.500], [0.566, 0.700, 0.500], [0.700, 0.434, 0.500], [0.800, 0.934, 0.500], [0.934, 0.200, 0.500]],
  "dft_energy_ev_per_fu": -46.8,
  "ef_ev_per_fu": -4.73
}

(6)
{
  "formula": "PmCdAgPd",
  "functional": "GGA-PBE",
  "state": "relaxed",
  "cell": [[0.000, 3.505, 3.505], [3.505, 0.000, 3.505], [3.505, 3.505, 0.000]],
  "species": ["Pm", "Cd", "Ag", "Pd"],
  "fractional_positions": [[0.000, 0.000, 0.000], [0.500, 0.500, 0.500], [0.250, 0.250, 0.250], [0.750, 0.750, 0.750]],
  "dft_energy_ev_per_fu": -15.5,
  "ef_ev_per_fu": -1.81
}

(7)
{
  "formula": "Pr4CdAg2Pd",
  "functional": "GGA-PBE",
  "state": "relaxed",
  "cell": [[2.673, 1.543, 8.662], [-2.673, 1.543, 8.662], [0.000, -3.087, 8.662]],
  "species": ["Pr", "Pr", "Pr", "Pr", "Cd", "Ag", "Ag", "Pd"],
  "fractional_positions": [[0.118, 0.118, 0.118], [0.369, 0.369, 0.369], [0.631, 0.631, 0.631], [0.882, 0.882, 0.882], [0.500, 0.500, 0.500], [0.242, 0.242, 0.242], [0.758, 0.758, 0.758], [0.000, 0.000, 0.000]],
  "dft_energy_ev_per_fu": -34.0,
  "ef_ev_per_fu": -3.05
}

(8)
{
  "formula": "PrCdAgPd",
  "functional": "GGA-PBE",
  "state": "relaxed",
  "cell": [[0.000, 3.540, 3.540], [3.540, 0.000, 3.540], [3.540, 3.540, 0.000]],
  "species": ["Pr", "Cd", "Ag", "Pd"],
  "fractional_positions": [[0.000, 0.000, 0.000], [0.500, 0.500, 0.500], [0.750, 0.750, 0.750], [0.250, 0.250, 0.250]],
  "dft_energy_ev_per_fu": -15.4,
  "ef_ev_per_fu": -1.71
}

(9)
{
  "formula": "Pr2Cd2AgPd5",
  "functional": "GGA-PBE",
  "state": "relaxed",
  "cell": [[10.169, 0.000, 0.000], [0.000, 10.169, 0.000], [0.000, 0.000, 3.958]],
  "species": ["Pr", "Pr", "Pr", "Pr", "Cd", "Cd", "Cd", "Cd", "Ag", "Ag", "Pd", "Pd", "Pd", "Pd", "Pd", "Pd", "Pd", "Pd", "Pd", "Pd"],
  "fractional_positions": [[0.176, 0.324, 0.000], [0.324, 0.824, 0.000], [0.676, 0.176, 0.000], [0.824, 0.676, 0.000], [0.123, 0.623, 0.000], [0.377, 0.123, 0.000], [0.623, 0.877, 0.000], [0.877, 0.377, 0.000], [0.000, 0.000, 0.000], [0.500, 0.500, 0.000], [0.000, 0.500, 0.500], [0.057, 0.803, 0.500], [0.197, 0.057, 0.500], [0.303, 0.557, 0.500], [0.443, 0.303, 0.500], [0.500, 0.000, 0.500], [0.557, 0.697, 0.500], [0.697, 0.443, 0.500], [0.803, 0.943, 0.500], [0.943, 0.197, 0.500]],
  "dft_energy_ev_per_fu": -44.1,
  "ef_ev_per_fu": -3.87
}

(10)
{
  "formula": "Cd2AgPdPt",
  "functional": "GGA-PBE",
  "state": "relaxed",
  "cell": [[5.000, 0.000, 0.000], [0.000, 5.000, 0.000], [0.000, 0.000, 4.987]],
  "species": ["Cd", "Cd", "Ag", "Pd", "Pt"],
  "fractional_positions": [[0.000, 0.500, 0.000], [0.500, 0.000, 0.000], [0.000, 0.000, 0.500], [0.000, 0.000, 0.000], [0.500, 0.500, 0.500]],
  "dft_energy_ev_per_fu": -12.5,
  "ef_ev_per_fu": 3.41
}

(11)
{
  "formula": "Cd2AgPd5Pt",
  "functional": "GGA-PBE",
  "state": "relaxed",
  "cell": [[-3.386, 3.386, 7.221], [3.386, -3.386, 7.221], [3.386, 3.386, -7.221]],
  "species": ["Cd", "Cd", "Cd", "Cd", "Ag", "Ag", "Pd", "Pd", "Pd", "Pd", "Pd", "Pd", "Pd", "Pd", "Pd", "Pd", "Pt", "Pt"],
  "fractional_positions": [[0.134, 0.634, 0.767], [0.366, 0.134, 0.500], [0.634, 0.866, 0.500], [0.866, 0.366, 0.233], [0.250, 0.750, 0.500], [0.750, 0.250, 0.500], [0.000, 0.000, 0.000], [0.078, 0.114, 0.500], [0.114, 0.614, 0.036], [0.386, 0.422, 0.500], [0.422, 0.922, 0.036], [0.500, 0.500, 0.000], [0.578, 0.078, 0.964], [0.614, 0.578, 0.500], [0.886, 0.386, 0.964], [0.922, 0.886, 0.500], [0.250, 0.250, 0.000], [0.750, 0.750, 0.000]],
  "dft_energy_ev_per_fu": -35.0,
  "ef_ev_per_fu": 1.69
}

(12)
{
  "formula": "PuCdAgPd",
  "functional": "GGA-PBE",
  "state": "relaxed",
  "cell": [[0.000, 3.496, 3.496], [3.496, 0.000, 3.496], [3.496, 3.496, 0.000]],
  "species": ["Pu", "Cd", "Ag", "Pd"],
  "fractional_positions": [[0.000, 0.000, 0.000], [0.500, 0.500, 0.500], [0.250, 0.250, 0.250], [0.750, 0.750, 0.750]],
  "dft_energy_ev_per_fu": -23.9,
  "ef_ev_per_fu": -0.64
}

(13)
{
  "formula": "Rb2CdAgPd",
  "functional": "GGA-PBE",
  "state": "relaxed",
  "cell": [[6.398, 0.000, 0.000], [0.000, 6.398, 0.000], [0.000, 0.000, 5.306]],
  "species": ["Rb", "Rb", "Cd", "Ag", "Pd"],
  "fractional_positions": [[0.000, 0.500, 0.000], [0.500, 0.000, 0.000], [0.000, 0.000, 0.500], [0.000, 0.000, 0.000], [0.500, 0.500, 0.500]],
  "dft_energy_ev_per_fu": -8.9,
  "ef_ev_per_fu": 2.01
}

(14)
{
  "formula": "CdAgPdRh",
  "functional": "GGA-PBE",
  "state": "relaxed",
  "cell": [[0.000, 3.227, 3.227], [3.227, 0.000, 3.227], [3.227, 3.227, 0.000]],
  "species": ["Cd", "Ag", "Pd", "Rh"],
  "fractional_positions": [[0.000, 0.000, 0.000], [0.500, 0.500, 0.500], [0.250, 0.250, 0.250], [0.750, 0.750, 0.750]],
  "dft_energy_ev_per_fu": -16.3,
  "ef_ev_per_fu": -0.02
}

(15)
{
  "formula": "CdAg2PdRu",
  "functional": "GGA-PBE",
  "state": "relaxed",
  "cell": [[5.001, 0.000, 0.000], [0.000, 5.001, 0.000], [0.000, 0.000, 4.944]],
  "species": ["Cd", "Ag", "Ag", "Pd", "Ru"],
  "fractional_positions": [[0.000, 0.000, 0.000], [0.000, 0.500, 0.000], [0.500, 0.000, 0.000], [0.000, 0.000, 0.500], [0.500, 0.500, 0.500]],
  "dft_energy_ev_per_fu": -14.0,
  "ef_ev_per_fu": 7.09
}

(16)
{
  "formula": "Cd2Si2AgPd5",
  "functional": "GGA-PBE",
  "state": "relaxed",
  "cell": [[9.959, 0.000, 0.000], [0.000, 9.959, 0.000], [0.000, 0.000, 3.365]],
  "species": ["Cd", "Cd", "Cd", "Cd", "Si", "Si", "Si", "Si", "Ag", "Ag", "Pd", "Pd", "Pd", "Pd", "Pd", "Pd", "Pd", "Pd", "Pd", "Pd"],
  "fractional_positions": [[0.175, 0.325, 0.000], [0.325, 0.825, 0.000], [0.675, 0.175, 0.000], [0.825, 0.675, 0.000], [0.129, 0.629, 0.000], [0.371, 0.129, 0.000], [0.629, 0.871, 0.000], [0.871, 0.371, 0.000], [0.000, 0.000, 0.000], [0.500, 0.500, 0.000], [0.000, 0.500, 0.500], [0.069, 0.787, 0.500], [0.213, 0.069, 0.500], [0.287, 0.569, 0.500], [0.431, 0.287, 0.500], [0.500, 0.000, 0.500], [0.569, 0.713, 0.500], [0.713, 0.431, 0.500], [0.787, 0.931, 0.500], [0.931, 0.213, 0.500]],
  "dft_energy_ev_per_fu": -45.2,
  "formation_energy_uncorrected_ev_per_atom": -0.367
}

(17)
{
  "formula": "Sm4CdAg2Pd",
  "functional": "GGA-PBE",
  "state": "relaxed",
  "cell": [[2.620, 1.513, 8.523], [-2.620, 1.513, 8.523], [0.000, -3.026, 8.523]],
  "species": ["Sm", "Sm", "Sm", "Sm", "Cd", "Ag", "Ag", "Pd"],
  "fractional_positions": [[0.118, 0.118, 0.118], [0.370, 0.370, 0.370], [0.630, 0.630, 0.630], [0.882, 0.882, 0.882], [0.500, 0.500, 0.500], [0.242, 0.242, 0.242], [0.758, 0.758, 0.758], [0.000, 0.000, 0.000]],
  "dft_energy_ev_per_fu": -34.0,
  "ef_ev_per_fu": -3.34
}

(18)
{
  "formula": "SmCdAgPd",
  "functional": "GGA-PBE",
  "state": "relaxed",
  "cell": [[0.000, 3.493, 3.493], [3.493, 0.000, 3.493], [3.493, 3.493, 0.000]],
  "species": ["Sm", "Cd", "Ag", "Pd"],
  "fractional_positions": [[0.000, 0.000, 0.000], [0.500, 0.500, 0.500], [0.250, 0.250, 0.250], [0.750, 0.750, 0.750]],
  "dft_energy_ev_per_fu": -15.5,
  "ef_ev_per_fu": -1.83
}

(19)
{
  "formula": "CdAgSn2Pd",
  "functional": "GGA-PBE",
  "state": "relaxed",
  "cell": [[3.868, 0.000, 0.000], [0.000, 3.868, 0.000], [0.000, 0.000, 14.728]],
  "species": ["Cd", "Cd", "Ag", "Ag", "Sn", "Sn", "Sn", "Sn", "Pd", "Pd"],
  "fractional_positions": [[0.250, 0.250, 0.151], [0.750, 0.750, 0.849], [0.250, 0.750, 0.000], [0.750, 0.250, 0.000], [0.250, 0.250, 0.378], [0.250, 0.250, 0.751], [0.750, 0.750, 0.249], [0.750, 0.750, 0.622], [0.250, 0.250, 0.562], [0.750, 0.750, 0.438]],
  "dft_energy_ev_per_fu": -17.5,
  "ef_ev_per_fu": -0.49
}

(20)
{
  "formula": "Cd4AgSnPd2",
  "functional": "GGA-PBE",
  "state": "relaxed",
  "cell": [[4.059, 0.000, 0.000], [0.000, 4.059, 0.000], [0.000, 0.000, 10.665]],
  "species": ["Cd", "Cd", "Cd", "Cd", "Ag", "Sn", "Pd", "Pd"],
  "fractional_positions": [[0.000, 0.500, 0.195], [0.000, 0.500, 0.805], [0.500, 0.000, 0.195], [0.500, 0.000, 0.805], [0.000, 0.000, 0.000], [0.000, 0.000, 0.500], [0.500, 0.500, 0.376], [0.500, 0.500, 0.624]],
  "dft_energy_ev_per_fu": -21.3,
  "ef_ev_per_fu": -0.42
}

(21)
{
  "formula": "SrCd3AgPd",
  "functional": "GGA-PBE",
  "state": "relaxed",
  "cell": [[4.452, -6.011, 0.000], [4.452, 6.011, 0.000], [0.000, 0.000, 5.998]],
  "species": ["Sr", "Sr", "Cd", "Cd", "Cd", "Cd", "Cd", "Cd", "Ag", "Ag", "Pd", "Pd"],
  "fractional_positions": [[0.188, 0.812, 0.750], [0.812, 0.188, 0.250], [0.239, 0.239, 0.000], [0.239, 0.239, 0.500], [0.315, 0.685, 0.250], [0.685, 0.315, 0.750], [0.761, 0.761, 0.000], [0.761, 0.761, 0.500], [0.450, 0.550, 0.750], [0.550, 0.450, 0.250], [0.084, 0.916, 0.250], [0.916, 0.084, 0.750]],
  "dft_energy_ev_per_fu": -13.6,
  "ef_ev_per_fu": -1.12
}

(22)
{
  "formula": "Sr2Cd12Ag3Pd",
  "functional": "GGA-PBE",
  "state": "relaxed",
  "cell": [[3.055, 1.764, 13.916], [-3.055, 1.764, 13.916], [0.000, -3.527, 13.916]],
  "species": ["Sr", "Sr", "Cd", "Cd", "Cd", "Cd", "Cd", "Cd", "Cd", "Cd", "Cd", "Cd", "Cd", "Cd", "Ag", "Ag", "Ag", "Pd"],
  "fractional_positions": [[0.147, 0.147, 0.147], [0.853, 0.853, 0.853], [0.106, 0.106, 0.627], [0.106, 0.627, 0.106], [0.113, 0.612, 0.612], [0.373, 0.894, 0.894], [0.388, 0.388, 0.887], [0.388, 0.887, 0.388], [0.612, 0.113, 0.612], [0.612, 0.612, 0.113], [0.627, 0.106, 0.106], [0.887, 0.388, 0.388], [0.894, 0.373, 0.894], [0.894, 0.894, 0.373], [0.000, 0.500, 0.500], [0.500, 0.000, 0.500], [0.500, 0.500, 0.000], [0.500, 0.500, 0.500]],
  "dft_energy_ev_per_fu": -29.6,
  "ef_ev_per_fu": -1.49
}

| no. | N(E_F) (states/eV per cell) | magnetic moment (μB/cell) |
| --- | --- | --- |
| 1 | 24.2 | 0.001 |
| 2 | 12.7 | 0.000 |
| 3 | 2.4 | 0.000 |
| 4 | 5.9 | 0.000 |
| 5 | 7.9 | 0.000 |
| 6 | 2.6 | 0.000 |
| 7 | 7.9 | 0.000 |
| 8 | 2.6 | 0.000 |
| 9 | 10.4 | 0.000 |
| 10 | 3.1 | 0.000 |
| 11 | 10.6 | 0.000 |
| 12 | 14.5 | 5.554 |
| 13 | 5.2 | 0.000 |
| 14 | 5.2 | 0.009 |
| 15 | 5.7 | 2.538 |
| 16 | 7.7 | 0.000 |
| 17 | 6.5 | 0.000 |
| 18 | 2.5 | 0.000 |
| 19 | 5.3 | 0.000 |
| 20 | 3.6 | 0.000 |
| 21 | 5.6 | 0.000 |
| 22 | 7.2 | 0.000 |